Entry 1:
{"formula": "CoPdN2", "functional": "GGA-PBE", "state": "optimized geometry", "lattice_angstrom": [[3.112, -1.577, -1.452], [0.084, -3.712, -0.707], [-0.001, -1.245, -3.569]], "species": ["Pd", "N", "N", "Co"], "frac_coords": [[0.500, 0.500, 0.500], [0.250, 0.250, 0.250], [0.750, 0.750, 0.750], [0.000, 0.000, 0.000]], "dos_at_fermi_per_ev_fu": 3.42, "vol_a3_per_atom": 9.54, "energy_ev_per_atom": -5.899, "de_polymorph_mev_per_atom": 837}

***

Entry 2:
{"formula": "CoPdN2", "functional": "GGA-PBE", "state": "optimized geometry", "lattice_angstrom": [[-3.769, 4.974, -0.403], [-2.140, 5.597, 1.789], [-1.227, 6.078, -0.816]], "species": ["Pd", "N", "N", "Co"], "frac_coords": [[0.000, 0.000, 0.000], [0.890, 0.890, 0.890], [0.110, 0.110, 0.110], [0.500, 0.500, 0.500]], "dos_at_fermi_per_ev_fu": 4.32, "vol_a3_per_atom": 10.27, "energy_ev_per_atom": -6.736, "de_polymorph_mev_per_atom": 0}

***

Entry 3:
{"formula": "CoPd2N2", "functional": "GGA-PBE", "state": "optimized geometry", "lattice_angstrom": [[8.267, -1.413, -0.007], [8.267, 1.413, -0.007], [8.028, 0.000, 2.429]], "species": ["Co", "Pd", "Pd", "N", "N"], "frac_coords": [[0.500, 0.500, 0.500], [0.713, 0.713, 0.713], [0.287, 0.287, 0.287], [0.208, 0.208, 0.208], [0.792, 0.792, 0.792]], "dos_at_fermi_per_ev_fu": 3.54, "vol_a3_per_atom": 11.38, "energy_ev_per_atom": -6.404}

***

> Number 2 is which compound?

CoPdN2